The following is a PBE with a Hubbard U calculation of a relaxed KMoNF2 crystal, from Alexandria.

Energy ... -27.6 eV per cell
Excess energy over the best structure of this formula in the dataset ... 0.000 eV per atom

Lattice parameters (Å, degrees): 4.365 4.365 3.990 90.00 90.00 90.00
Fractional positions:
K 0.000 0.000 0.000
Mo 0.500 0.500 0.500
N 0.500 0.500 0.000
F 0.000 0.500 0.500
F 0.500 0.000 0.500